# 1
Entry from Alexandria via LeMat-Bulk: TmTePt after structural relaxation (PBE).

```
data_TmTePt
_chemical_formula_sum 'Tm4 Te4 Pt4'
_cell_length_a 8.5916
_cell_length_b 8.5916
_cell_length_c 4.5020
_cell_angle_alpha 90.00
_cell_angle_beta 90.00
_cell_angle_gamma 90.00
_symmetry_space_group_name_H-M 'P 42/m'
_symmetry_Int_Tables_number 84
loop_
_symmetry_equiv_pos_as_xyz
'x,y,z'
'-x,-y,-z'
'-y,x,z+1/2'
'y,-x,-z+1/2'
'-x,-y,z'
'x,y,-z'
'y,-x,z+1/2'
'-y,x,-z+1/2'
loop_
_atom_site_label
_atom_site_fract_x
_atom_site_fract_y
_atom_site_fract_z
Tm1 0.1136 0.7153 0.0000
Te1 0.2166 0.4821 0.5000
Pt1 0.2008 0.3101 0.0000
```

D(E_F) (states/eV/f.u.): 1.8
Volume (Å³/f.u.): 83
Total energy (eV per atom): -5.336
Crystal system: tetragonal

# 2
Entry from Alexandria via LeMat-Bulk: UTePt after structural relaxation (PBE).

```
data_UTePt
_chemical_formula_sum 'U4 Te4 Pt4'
_cell_length_a 10.2778
_cell_length_b 4.3965
_cell_length_c 6.7579
_cell_angle_alpha 90.00
_cell_angle_beta 94.52
_cell_angle_gamma 90.00
_symmetry_space_group_name_H-M 'C 1 2/m 1'
_symmetry_Int_Tables_number 12
loop_
_symmetry_equiv_pos_as_xyz
'x,y,z'
'-x,-y,-z'
'-x,y,-z'
'x,-y,z'
'x+1/2,y+1/2,z'
'-x+1/2,-y+1/2,-z'
'-x+1/2,y+1/2,-z'
'x+1/2,-y+1/2,z'
loop_
_atom_site_label
_atom_site_fract_x
_atom_site_fract_y
_atom_site_fract_z
U1 0.1237 0.0000 0.1586
Te1 0.1650 0.0000 0.6543
Pt1 0.0874 0.5000 0.8616
```

D(E_F) (states/eV/f.u.): 5.9
Volume (Å³/f.u.): 76
Total energy (eV per atom): -7.388
Crystal system: monoclinic

# 3
Entry from Alexandria via LeMat-Bulk: UTe2Pt after structural relaxation (PBE).

```
data_UTe2Pt
_chemical_formula_sum 'U3 Te6 Pt3'
_cell_length_a 3.9300
_cell_length_b 3.9300
_cell_length_c 27.4242
_cell_angle_alpha 90.00
_cell_angle_beta 90.00
_cell_angle_gamma 120.00
_symmetry_space_group_name_H-M 'R -3 m'
_symmetry_Int_Tables_number 166
_symmetry_space_group_name_Hall '-R 3 2"'
loop_
_atom_site_label
_atom_site_fract_x
_atom_site_fract_y
_atom_site_fract_z
U1 0.0000 0.0000 0.0000
Te1 0.0000 0.0000 0.4071
Pt1 0.0000 0.0000 0.5000
```

D(E_F) (states/eV/f.u.): 7.4
Volume (Å³/f.u.): 122
Total energy (eV per atom): -5.849
Crystal system: trigonal

# 4
Entry from Alexandria via LeMat-Bulk: UTePt4 after structural relaxation (PBE).

```
data_UTePt4
_chemical_formula_sum 'U4 Te4 Pt16'
_cell_length_a 7.6696
_cell_length_b 7.6696
_cell_length_c 7.6696
_cell_angle_alpha 90.00
_cell_angle_beta 90.00
_cell_angle_gamma 90.00
_symmetry_space_group_name_H-M 'F -4 3 m'
_symmetry_Int_Tables_number 216
_symmetry_space_group_name_Hall 'F -4 2 3'
loop_
_atom_site_label
_atom_site_fract_x
_atom_site_fract_y
_atom_site_fract_z
U1 0.0000 0.0000 0.0000
Te1 0.2500 0.2500 0.2500
Pt1 0.1257 0.1257 0.6257
```

D(E_F) (states/eV/f.u.): 9.9
Volume (Å³/f.u.): 113
Total energy (eV per atom): -6.877
Crystal system: cubic

Question: The highest volume belongs to which entry?
Answer: UTe2Pt